[1]
{"formula": "CaBe2Co", "functional": "GGA-PBE", "state": "relaxed", "spacegroup": "Fm-3m", "e_above_lowest_polymorph_ev_per_fu": 2.07, "dft_energy_ev_per_atom": -3.65, "ef_mev_per_atom": 487, "lattice": [[-0.071, -3.714, 2.101], [-3.730, -1.762, 1.094], [-1.346, -3.540, -1.968]], "species": ["Be", "Be", "Ca", "Co"], "fractional_positions": [[0.250, 0.250, 0.250], [0.750, 0.750, 0.750], [0.000, 0.000, 0.000], [0.500, 0.500, 0.500]]}


[2]
{"formula": "CaBe2Co", "functional": "GGA-PBE", "state": "relaxed", "spacegroup": "P4mm", "e_above_lowest_polymorph_ev_per_fu": 1.22, "dft_energy_ev_per_atom": -3.87, "ef_mev_per_atom": 274, "lattice": [[2.935, 0.012, 0.000], [-0.012, 2.935, 0.000], [0.000, 0.000, 6.461]], "species": ["Be", "Be", "Ca", "Co"], "fractional_positions": [[0.000, 0.000, 0.981], [0.500, 0.500, 0.163], [0.000, 0.000, 0.515], [0.500, 0.500, 0.841]]}


[3]
{"formula": "CaBe3Co", "functional": "GGA-PBE", "state": "relaxed", "spacegroup": "Pm-3m", "e_above_lowest_polymorph_ev_per_fu": 0.00, "dft_energy_ev_per_atom": -3.98, "ef_mev_per_atom": 77, "lattice": [[4.125, 0.000, 0.000], [0.000, 4.125, 0.000], [0.000, 0.000, 4.125]], "species": ["Be", "Be", "Be", "Ca", "Co"], "fractional_positions": [[0.000, 0.500, 0.000], [0.000, 0.000, 0.500], [0.500, 0.000, 0.000], [0.500, 0.500, 0.500], [0.000, 0.000, 0.000]]}


[4]
{"formula": "CaBeCo4", "functional": "GGA-PBE", "state": "relaxed", "spacegroup": "F-43m", "dft_energy_ev_per_atom": -5.46, "ef_mev_per_atom": 233, "lattice": [[0.000, 3.431, 3.431], [3.431, 0.000, 3.431], [3.431, 3.431, 0.000]], "species": ["Ca", "Be", "Co", "Co", "Co", "Co"], "fractional_positions": [[0.000, 0.000, 0.000], [0.750, 0.750, 0.750], [0.871, 0.376, 0.376], [0.376, 0.376, 0.871], [0.376, 0.871, 0.376], [0.376, 0.376, 0.376]]}


[5]
{"formula": "CaBe2Co", "functional": "GGA-PBE", "state": "relaxed", "spacegroup": "Cm", "e_above_lowest_polymorph_ev_per_fu": 0.00, "dft_energy_ev_per_atom": -4.17, "ef_mev_per_atom": -32, "lattice": [[-0.977, 3.467, -0.991], [-2.597, 1.838, 1.958], [2.411, 3.655, 3.343]], "species": ["Be", "Be", "Ca", "Co"], "fractional_positions": [[0.004, 0.004, 0.988], [0.683, 0.683, 0.949], [0.501, 0.501, 0.500], [0.312, 0.312, 0.064]]}


[6]
{"formula": "CaBeCo2", "functional": "GGA-PBE", "state": "relaxed", "spacegroup": "P4/mmm", "dft_energy_ev_per_atom": -4.74, "ef_mev_per_atom": 248, "lattice": [[2.975, 0.009, 0.000], [-0.008, 2.975, 0.000], [0.000, 0.000, 6.373]], "species": ["Be", "Ca", "Co", "Co"], "fractional_positions": [[0.500, 0.500, 0.250], [0.500, 0.500, 0.750], [0.000, 0.000, 0.080], [0.000, 0.000, 0.420]]}


Q: What is the formula in the third record?
A: CaBe3Co